# 1
Material: Co2MoIrCl
Method: DFT, GGA-PBE
State: relaxed

Properties
The calculation puts the uncorrected formation energy at 1207 meV/atom. The total magnetization is 0.795 μB per atom. The value obtained for the density is 9.81 g cm⁻³. The space-group type is No. 123.

Lattice parameters (Å, degrees): 4.0569 4.0569 4.5403 90.00 90.00 90.00
Closest atoms and distances in Å follow each position.
Fractional positions:
Co  0.0000  0.5000  0.0000  2 Cl 2.03
Co  0.5000  0.0000  0.0000  2 Cl 2.03
Mo  0.0000  0.0000  0.5000  4 Ir 2.87, 8 Co 3.04
Ir  0.5000  0.5000  0.5000  2 Cl 2.27
Cl  0.5000  0.5000  0.0000  4 Co 2.03, 2 Ir 2.27


# 2
Material: CoMoIrCl2
Method: DFT, GGA-PBE
State: relaxed

Properties
The calculation puts the uncorrected formation energy at 1061 meV/atom. The total magnetization is 0.560 μB per atom. The value obtained for the density is 6.53 g cm⁻³. The space-group type is No. 123.

Lattice parameters (Å, degrees): 4.6389 4.6389 4.9418 90.00 90.00 90.00
Closest atoms and distances in Å follow each position.
Fractional positions:
Co  0.0000  0.0000  0.0000  4 Ir 3.28, 8 Cl 3.39
Mo  0.5000  0.5000  0.5000  4 Cl 2.32, 2 Ir 2.47
Ir  0.5000  0.5000  0.0000  2 Mo 2.47
Cl  0.0000  0.5000  0.5000  2 Mo 2.32
Cl  0.5000  0.0000  0.5000  2 Mo 2.32


# 3
Material: Nd4CoIrCl2
Method: DFT, GGA-PBE
State: relaxed

Properties
The calculation puts the uncorrected formation energy at -1004 meV/atom. The total magnetization is 0.000 μB per atom. The value obtained for the density is 6.96 g cm⁻³. The space-group type is No. 10.

Lattice parameters (Å, degrees): 7.0157 4.0441 7.9004 90.00 107.02 90.00
Closest atoms and distances in Å follow each position.
Fractional positions:
Nd  0.2246  0.0000  0.2004  2 Co 2.76, 1 Ir 2.83
Nd  0.2591  0.5000  0.7952  1 Co 2.76, 2 Ir 2.82
Nd  0.7409  0.5000  0.2048  1 Co 2.76, 2 Ir 2.82
Nd  0.7754  0.0000  0.7996  2 Co 2.76, 1 Ir 2.83
Co  0.0000  0.5000  0.0000  6 Nd 2.76
Ir  0.5000  0.0000  0.0000  6 Nd 2.82-2.83
Cl  0.0000  0.0000  0.5000  6 Nd 3.20-3.22
Cl  0.5000  0.5000  0.5000  6 Nd 3.26-3.28


# 4
Material: CoPIrCl2
Method: DFT, GGA-PBE
State: relaxed

Properties
The calculation puts the uncorrected formation energy at 808 meV/atom. The total magnetization is 0.506 μB per atom. The value obtained for the density is 5.25 g cm⁻³. The space-group type is No. 123.

Lattice parameters (Å, degrees): 5.0231 5.0231 4.4296 90.00 90.00 90.00
Closest atoms and distances in Å follow each position.
Fractional positions:
Co  0.0000  0.0000  0.0000  8 Cl 3.35, 4 P 3.55
P  0.5000  0.5000  0.0000  2 Ir 2.21
Ir  0.5000  0.5000  0.5000  2 P 2.21
Cl  0.0000  0.5000  0.5000  2 Ir 2.51
Cl  0.5000  0.0000  0.5000  2 Ir 2.51


# 5
Material: CoPIrCl2
Method: DFT, GGA-PBE
State: relaxed

Properties
The calculation puts the uncorrected formation energy at 982 meV/atom. The total magnetization is 0.387 μB per atom. The value obtained for the density is 6.69 g cm⁻³. The space-group type is No. 123.

Lattice parameters (Å, degrees): 4.3906 4.3906 4.5479 90.00 90.00 90.00
Closest atoms and distances in Å follow each position.
Fractional positions:
Co  0.0000  0.0000  0.0000  4 Cl 2.20, 2 P 2.27
P  0.0000  0.0000  0.5000  2 Co 2.27
Ir  0.5000  0.5000  0.5000  4 P 3.10, 8 Cl 3.16
Cl  0.0000  0.5000  0.0000  2 Co 2.20
Cl  0.5000  0.0000  0.0000  2 Co 2.20


# 6
Material: Pm6CoIr2Cl3
Method: DFT, GGA-PBE
State: relaxed

Properties
The calculation puts the uncorrected formation energy at -1077 meV/atom. The total magnetization is 0.000 μB per atom. The value obtained for the density is 7.38 g cm⁻³. The space-group type is No. 12.

Lattice parameters (Å, degrees): 7.0198 7.0198 7.8453 98.51 98.51 120.07
Closest atoms and distances in Å follow each position.
Fractional positions:
Pm  0.0669  0.3898  0.2017  1 Co 2.72, 2 Ir 2.82
Pm  0.2564  0.2564  0.7979  1 Co 2.73, 2 Ir 2.82
Pm  0.3898  0.0669  0.2017  1 Co 2.72, 2 Ir 2.82
Pm  0.6102  0.9331  0.7983  1 Co 2.72, 2 Ir 2.82
Pm  0.7436  0.7436  0.2021  1 Co 2.73, 2 Ir 2.82
Pm  0.9331  0.6102  0.7983  1 Co 2.72, 2 Ir 2.82
Co  0.0000  0.0000  0.0000  6 Pm 2.72-2.73
Ir  0.3331  0.6669  0.0000  6 Pm 2.82
Ir  0.6669  0.3331  0.0000  6 Pm 2.82
Cl  0.1615  0.8385  0.5000  6 Pm 3.17-3.33
Cl  0.5000  0.5000  0.5000  6 Pm 3.21-3.28
Cl  0.8385  0.1615  0.5000  6 Pm 3.17-3.33


# 7
Material: CoIr2RuCl
Method: DFT, GGA-PBE
State: relaxed

Properties
The calculation puts the uncorrected formation energy at 1793 meV/atom. The total magnetization is 0.416 μB per atom. The value obtained for the density is 9.28 g cm⁻³. The space-group type is No. 123.

Lattice parameters (Å, degrees): 4.6956 4.6956 4.7051 90.00 90.00 90.00
Closest atoms and distances in Å follow each position.
Fractional positions:
Co  0.0000  0.0000  0.0000  2 Ru 2.35
Ir  0.0000  0.5000  0.5000  2 Ru 2.35
Ir  0.5000  0.0000  0.5000  2 Ru 2.35
Ru  0.0000  0.0000  0.5000  4 Ir 2.35, 2 Co 2.35
Cl  0.5000  0.5000  0.0000  4 Co 3.32, 8 Ir 3.32


# 8
Material: CoIrS2Cl
Method: DFT, GGA-PBE
State: relaxed

Properties
The calculation puts the uncorrected formation energy at 846 meV/atom. The total magnetization is 0.558 μB per atom. The value obtained for the density is 5.62 g cm⁻³. The space-group type is No. 123.

Lattice parameters (Å, degrees): 4.5984 4.5984 4.9043 90.00 90.00 90.00
Closest atoms and distances in Å follow each position.
Fractional positions:
Co  0.0000  0.0000  0.0000  4 Cl 3.25, 8 S 3.36
Ir  0.5000  0.5000  0.5000  4 S 2.30, 2 Cl 2.45
S  0.0000  0.5000  0.5000  2 Ir 2.30
S  0.5000  0.0000  0.5000  2 Ir 2.30
Cl  0.5000  0.5000  0.0000  2 Ir 2.45


Q: The highest total magnetization belongs to which entry?
A: Co2MoIrCl